(1)
{"formula": "CaCoNi2O5", "functional": "GGA+U", "state": "relaxed", "density_g_cm3": 5.11, "final_energy_ev_per_atom": -5.228, "dos_at_fermi_per_ev_fu": 2.129, "lattice": [[3.550, 0.000, 0.000], [0.000, 5.251, 0.000], [-1.775, -2.625, 5.164]], "species": ["Ca", "Co", "Ni", "Ni", "O", "O", "O", "O", "O"], "frac_coords": [[0.000, 0.500, 0.000], [0.500, 0.000, 0.000], [0.200, 0.200, 0.400], [0.800, 0.800, 0.600], [0.638, 0.894, 0.275], [0.362, 0.106, 0.725], [0.362, 0.618, 0.725], [0.638, 0.382, 0.275], [0.000, 0.000, 0.000]]}

---

(2)
{"formula": "Ca4Co3Si8NiO24", "functional": "GGA+U", "state": "relaxed", "density_g_cm3": 3.66, "final_energy_ev_per_atom": -7.244, "dos_at_fermi_per_ev_fu": 0.000, "lattice": [[5.313, -0.003, 0.017], [-1.358, 6.534, -0.010], [-2.563, -0.687, 13.134]], "species": ["Ca", "Ca", "Ca", "Ca", "Co", "Co", "Co", "Si", "Si", "Si", "Si", "Si", "Si", "Si", "Si", "Ni", "O", "O", "O", "O", "O", "O", "O", "O", "O", "O", "O", "O", "O", "O", "O", "O", "O", "O", "O", "O", "O", "O", "O", "O"], "frac_coords": [[0.101, 0.702, 0.852], [0.605, 0.704, 0.353], [0.396, 0.299, 0.647], [0.898, 0.295, 0.148], [0.298, 0.091, 0.046], [0.702, 0.906, 0.953], [0.204, 0.907, 0.453], [0.866, 0.621, 0.597], [0.367, 0.619, 0.098], [0.039, 0.194, 0.809], [0.544, 0.195, 0.311], [0.630, 0.378, 0.903], [0.134, 0.380, 0.403], [0.459, 0.807, 0.690], [0.961, 0.806, 0.189], [0.796, 0.093, 0.546], [0.868, 0.797, 0.515], [0.366, 0.798, 0.016], [0.040, 0.026, 0.895], [0.547, 0.030, 0.399], [0.626, 0.203, 0.986], [0.127, 0.205, 0.486], [0.461, 0.974, 0.603], [0.963, 0.973, 0.102], [0.735, 0.389, 0.556], [0.239, 0.386, 0.056], [0.015, 0.115, 0.693], [0.520, 0.110, 0.196], [0.763, 0.609, 0.945], [0.267, 0.611, 0.444], [0.481, 0.888, 0.805], [0.986, 0.888, 0.305], [0.169, 0.633, 0.666], [0.670, 0.634, 0.166], [0.812, 0.333, 0.817], [0.315, 0.333, 0.317], [0.329, 0.368, 0.833], [0.832, 0.370, 0.334], [0.686, 0.667, 0.684], [0.184, 0.663, 0.183]]}